# NaCrGa2Pt PBE-GGA optimized geometry
data_NaCrGa2Pt
_chemical_formula_sum 'Na1 Cr1 Ga2 Pt1'
_cell_length_a 4.7607
_cell_length_b 4.6131
_cell_length_c 4.7607
_cell_angle_alpha 90.00
_cell_angle_beta 90.00
_cell_angle_gamma 90.00
_symmetry_space_group_name_H-M 'P 1'
_symmetry_Int_Tables_number 1
loop_
_symmetry_equiv_pos_as_xyz
'x,y,z'
loop_
_atom_site_label
_atom_site_type_symbol
_atom_site_fract_x
_atom_site_fract_y
_atom_site_fract_z
_atom_site_occupancy
Pt1 Pt 0.0000 0.5000 0.0000 1
Ga1 Ga 0.0000 0.0000 0.5000 1
Ga2 Ga 0.5000 0.0000 0.0000 1
Na1 Na 0.5000 0.5000 0.5000 1
Cr1 Cr 0.0000 0.0000 0.0000 1
# - total DFT energy (no corrections) (eV per atom) = -4.400
# - density of states at the Fermi level (states/eV/f.u.) = 2.634
# - symmetry = P4/mmm (123)